[1]
This record from Alexandria describes a geometry-optimized Nd3TePtN structure. The functional is GGA-PBE.

abc: 9.2228 4.1490 9.6327
angles: 90.00 102.87 90.00
Space group P2_1/m (No. 11)
Symmetry-distinct sites (fractional):
Nd  0.0773  0.2500  0.3589 [2 per cell]
Nd  0.3407  0.2500  0.9865 [2 per cell]
Nd  0.3742  0.7500  0.6622 [2 per cell]
Te  0.3290  0.7500  0.2818 [2 per cell]
Pt  0.1466  0.2500  0.6608 [2 per cell]
N  0.4120  0.7500  0.8994 [2 per cell]

Crystal system: monoclinic
Raw formation energy: -1200.7 meV/atom


[2]
This record from Alexandria describes a geometry-optimized Mn2ZnCo2 structure. The functional is GGA-PBE.

abc: 6.7506 6.7506 2.6470
angles: 90.00 90.00 90.00
Space group P4/mbm (No. 127)
Symmetry-distinct sites (fractional):
Mn  0.1675  0.3325  0.0000 [4 per cell]
Zn  0.0000  0.0000  0.5000 [2 per cell]
Co  0.1284  0.6284  0.5000 [4 per cell]

Crystal system: tetragonal
Energy of formation from the pure elements: 0.167 eV/atom


[3]
This record from Alexandria describes a geometry-optimized Ca2GaNiBi structure. The functional is GGA-PBE.

abc: 5.6636 5.6636 5.1578
angles: 90.00 90.00 90.00
Space group P4/mmm (No. 123)
Symmetry-distinct sites (fractional):
Ca  0.0000  0.5000  0.0000 [2 per cell]
Ga  0.0000  0.0000  0.0000 [1 per cell]
Ni  0.5000  0.5000  0.5000 [1 per cell]
Bi  0.0000  0.0000  0.5000 [1 per cell]

Crystal system: tetragonal
Energy of formation from the pure elements: 0.455 eV/atom


[4]
This record from Alexandria describes a geometry-optimized Pm2AgBr8 structure. The functional is GGA-PBE.

abc: 15.1032 6.7262 10.5314
angles: 90.00 106.15 90.00
Space group C2/m (No. 12)
Symmetry-distinct sites (fractional):
Pm  0.2355  0.0000  0.3199 [4 per cell]
Ag  0.0000  0.0000  0.0000 [2 per cell]
Br  0.0957  0.5000  0.7122 [4 per cell]
Br  0.1178  0.2600  0.1328 [8 per cell]
Br  0.2155  0.0000  0.5789 [4 per cell]

Crystal system: monoclinic
Raw formation energy: -1286.7 meV/atom


[5]
This record from Alexandria describes a geometry-optimized TmVCo2 structure. The functional is GGA-PBE.

abc: 2.9502 2.9502 6.7174
angles: 90.00 90.00 90.00
Space group P4/mmm (No. 123)
Symmetry-distinct sites (fractional):
Tm  0.0000  0.0000  0.0000 [1 per cell]
V  0.0000  0.0000  0.5000 [1 per cell]
Co  0.5000  0.5000  0.3059 [2 per cell]

Crystal system: tetragonal
Energy of formation from the pure elements: -0.110 eV/atom
Polymorph energy (0 for the lowest one): 0.002 eV/atom


[6]
This record from Alexandria describes a geometry-optimized Dy4TmZr structure. The functional is GGA-PBE.

abc: 15.0829 3.4569 6.9693
angles: 90.00 103.45 90.00
Space group C2/m (No. 12)
Symmetry-distinct sites (fractional):
Dy  0.1598  0.0000  0.3390 [4 per cell]
Dy  0.1610  0.0000  0.8212 [4 per cell]
Tm  0.0000  0.5000  0.0000 [2 per cell]
Zr  0.0000  0.5000  0.5000 [2 per cell]

Crystal system: monoclinic
Energy of formation from the pure elements: 0.052 eV/atom


| no. | spin magnetization (μB per formula unit) | density of states at the Fermi level (states/eV/cell) |
| --- | --- | --- |
| 1 | 0.00 | 5.06 |
| 2 | 4.86 | 10.94 |
| 3 | 0.01 | 3.40 |
| 4 | 0.00 | 3.48 |
| 5 | 0.03 | 4.49 |
| 6 | 0.00 | 13.48 |